A plane-wave DFT calculation with PBE was carried out for a geometry-optimized ErTcC structure.

Summary:
Formation energy: -0.05 eV/atom
VASP energy: -97.17 eV for the cell shown
Size of the total moment: 0.000 μB/atom
Offset from the most stable computed form: 171 meV/atom
Crystal system: monoclinic

Cell: 3.8608 6.9044 8.5310 Å, 92.69 103.08 90.00°
With the nearest neighbours (Å) after each atom.
Sites, in units of the cell vectors:
Er  0.8992  0.6079  0.7985  2 C 2.53
Er  0.5991  0.8273  0.1981  2 C 2.33-2.36
Er  0.4009  0.1727  0.8019  2 C 2.33-2.36
Er  0.1008  0.3921  0.2015  2 C 2.53
Tc  0.7583  0.3526  0.5165  2 C 2.00-2.03
Tc  0.2071  0.0748  0.4142  2 C 1.98
Tc  0.2417  0.6474  0.4835  2 C 2.00-2.03
Tc  0.7929  0.9252  0.5858  2 C 1.98
C  0.6757  0.5543  0.3515  1 Tc 2.00
C  0.3142  0.8926  0.6284  3 Tc 1.98-2.03
C  0.3243  0.4457  0.6485  1 Tc 2.00
C  0.6858  0.1074  0.3716  3 Tc 1.98-2.03